The following is a SCAN calculation of VOF3 at its PBEsol-relaxed geometry, from Alexandria.

a = 5.891 Å, b = 5.891 Å, c = 7.697 Å
α = 90.00°, β = 90.00°, γ = 90.00°
Fractional positions:
O1 0.966 0.233 0.233
O2 0.767 0.966 0.483
O3 0.233 0.034 0.983
O4 0.034 0.767 0.733
F1 0.530 0.222 0.264
F2 0.778 0.530 0.514
F3 0.470 0.778 0.764
F4 0.784 0.455 0.969
F5 0.791 0.016 0.015
F6 0.222 0.470 0.014
F7 0.016 0.209 0.765
F8 0.216 0.545 0.469
F9 0.984 0.791 0.265
F10 0.209 0.984 0.515
F11 0.545 0.784 0.219
F12 0.455 0.216 0.719
V1 0.276 0.995 0.771
V2 0.724 0.005 0.271
V3 0.005 0.276 0.021
V4 0.995 0.724 0.521

Values from the calculation:
The volume is 13.36 Å³ per atom. As for the density of states at the Fermi level: 0.00 states/eV/cell. For the uncorrected formation energy, the calculation gives -2732 meV/atom. The value obtained for the density is 3.1 Mg/m³.

=====

The following is a SCAN calculation of V4OF11 at its PBEsol-relaxed geometry, from Alexandria.

a = 5.114 Å, b = 5.330 Å, c = 7.286 Å
α = 93.51°, β = 90.00°, γ = 90.00°
Each line ends with the local moment (μB).
Fractional positions:
F1 0.110 0.500 0.500  0.01
F2 0.301 0.303 0.804  0.01
F3 0.807 0.805 0.298  0.01
F4 0.590 0.000 0.000  -0.01
F5 0.697 0.306 0.302  0.01
F6 0.807 0.195 0.702  0.01
F7 0.697 0.694 0.698  0.01
F8 0.194 0.196 0.199  0.01
F9 0.301 0.697 0.196  0.01
F10 0.898 0.500 0.000  0.01
F11 0.194 0.804 0.801  0.01
V1 0.998 0.501 0.250  1.83
V2 0.998 0.499 0.750  1.83
V3 0.492 0.000 0.264  1.57
V4 0.492 0.000 0.736  1.57
O1 0.426 0.000 0.500  -0.22

Values from the calculation:
The volume is 12.39 Å³ per atom. As for the density of states at the Fermi level: 4.57 states/eV/cell. For the uncorrected formation energy, the calculation gives -3164 meV/atom. The value obtained for the density is 3.6 Mg/m³.

=====

The following is a SCAN calculation of V3O4F2 at its PBEsol-relaxed geometry, from Alexandria.

a = 4.598 Å, b = 4.596 Å, c = 8.789 Å
α = 88.66°, β = 90.00°, γ = 90.00°
Each line ends with the local moment (μB).
Fractional positions:
O1 0.552 0.290 0.999  -0.09
O2 0.052 0.210 0.501  -0.09
O3 0.064 0.194 0.170  -0.09
O4 0.564 0.306 0.330  -0.09
O5 0.436 0.806 0.830  -0.09
O6 0.448 0.790 0.499  -0.09
O7 0.936 0.694 0.670  -0.09
O8 0.948 0.710 0.001  -0.09
F1 0.457 0.795 0.171  0.01
F2 0.043 0.205 0.829  0.01
F3 0.543 0.295 0.671  0.01
F4 0.957 0.705 0.329  0.01
V1 0.237 0.956 0.653  1.58
V2 0.737 0.544 0.847  1.58
V3 0.263 0.044 0.347  1.58
V4 0.750 0.500 0.500  1.92
V5 0.250 0.000 0.000  1.92
V6 0.763 0.456 0.153  1.58

Values from the calculation:
The volume is 10.32 Å³ per atom. As for the density of states at the Fermi level: 2.94 states/eV/cell. For the energy above the most stable polymorph in this dataset, the calculation gives 9 meV per atom. For the uncorrected formation energy, the calculation gives -2862 meV/atom. The value obtained for the density is 4.6 Mg/m³.

=====

The following is a SCAN calculation of VOF3 at its PBEsol-relaxed geometry, from Alexandria.

a = 3.885 Å, b = 8.367 Å, c = 8.367 Å
α = 90.00°, β = 90.00°, γ = 90.00°
Fractional positions:
F1 0.248 0.668 0.606
F2 0.752 0.394 0.668
F3 0.248 0.894 0.832
F4 0.752 0.832 0.106
F5 0.752 0.606 0.332
F6 0.752 0.168 0.894
F7 0.756 0.402 0.098
F8 0.248 0.332 0.394
F9 0.244 0.902 0.402
F10 0.756 0.598 0.902
F11 0.244 0.098 0.598
F12 0.248 0.106 0.168
O1 0.245 0.376 0.876
O2 0.755 0.124 0.376
O3 0.755 0.876 0.624
O4 0.245 0.624 0.124
V1 0.835 0.632 0.132
V2 0.165 0.132 0.368
V3 0.835 0.368 0.868
V4 0.165 0.868 0.632

Values from the calculation:
The volume is 13.60 Å³ per atom. As for the density of states at the Fermi level: 0.00 states/eV/cell. For the uncorrected formation energy, the calculation gives -2786 meV/atom. The value obtained for the density is 3.0 Mg/m³.